1.
# Mg2CuF6 (PBE-GGA, relaxed)
# Formation energy from raw total energies (meV per atom): -2840.7
data_Mg2CuF6
_space_group_name_H-M_alt 'P 42/m n m'
_space_group_IT_number 136
_space_group_name_Hall '-P 4n 2n'
_cell_length_a 4.692
_cell_length_b 4.692
_cell_length_c 9.378
_cell_angle_alpha 90.00
_cell_angle_beta 90.00
_cell_angle_gamma 90.00
loop_
_atom_site_label
_atom_site_fract_x
_atom_site_fract_y
_atom_site_fract_z
Mg1 0.000 0.000 0.167
Cu1 0.000 0.000 0.500
F1 0.194 0.194 0.000
F2 0.199 0.199 0.330


2.
# MgCu3F (PBE-GGA, relaxed)
# Formation energy from raw total energies (meV per atom): 813.1
# Energy above the most stable polymorph in this dataset (kJ/mol of formula units): 371
data_MgCu3F
_space_group_name_H-M_alt 'P m -3 m'
_space_group_IT_number 221
_space_group_name_Hall '-P 4 2 3'
_cell_length_a 4.650
_cell_length_b 4.650
_cell_length_c 4.650
_cell_angle_alpha 90.00
_cell_angle_beta 90.00
_cell_angle_gamma 90.00
loop_
_atom_site_label
_atom_site_fract_x
_atom_site_fract_y
_atom_site_fract_z
Mg1 0.000 0.000 0.000
Cu1 0.000 0.000 0.500
F1 0.500 0.500 0.500


3.
# Mg3CuF (PBE-GGA, relaxed)
# Formation energy from raw total energies (meV per atom): -705.1
# Energy above the most stable polymorph in this dataset (kJ/mol of formula units): 0
data_Mg3CuF
_space_group_name_H-M_alt 'P m -3 m'
_space_group_IT_number 221
_space_group_name_Hall '-P 4 2 3'
_cell_length_a 4.358
_cell_length_b 4.358
_cell_length_c 4.358
_cell_angle_alpha 90.00
_cell_angle_beta 90.00
_cell_angle_gamma 90.00
loop_
_atom_site_label
_atom_site_fract_x
_atom_site_fract_y
_atom_site_fract_z
Mg1 0.000 0.000 0.500
Cu1 0.500 0.500 0.500
F1 0.000 0.000 0.000


4.
# MgCu3F (PBE-GGA, relaxed)
# Formation energy from raw total energies (meV per atom): 44.2
# Energy above the most stable polymorph in this dataset (kJ/mol of formula units): 0
data_MgCu3F
_space_group_name_H-M_alt 'P m -3 m'
_space_group_IT_number 221
_space_group_name_Hall '-P 4 2 3'
_cell_length_a 4.215
_cell_length_b 4.215
_cell_length_c 4.215
_cell_angle_alpha 90.00
_cell_angle_beta 90.00
_cell_angle_gamma 90.00
loop_
_atom_site_label
_atom_site_fract_x
_atom_site_fract_y
_atom_site_fract_z
Mg1 0.000 0.000 0.000
Cu1 0.000 0.500 0.500
F1 0.500 0.500 0.500


5.
# MgCu2F8 (PBE-GGA, relaxed)
# Formation energy from raw total energies (meV per atom): -1739.3
data_MgCu2F8
_space_group_name_H-M_alt 'P -3'
_space_group_IT_number 147
_cell_length_a 6.2949
_cell_length_b 6.2949
_cell_length_c 3.8871
_cell_angle_alpha 90.00
_cell_angle_beta 90.00
_cell_angle_gamma 120.00
loop_
_space_group_symop_operation_xyz
'x,y,z'
'-x,-y,-z'
'-y,x-y,z'
'y,-x+y,-z'
'-x+y,-x,z'
'x-y,x,-z'
loop_
_atom_site_label
_atom_site_fract_x
_atom_site_fract_y
_atom_site_fract_z
Mg1 0.0000 0.0000 0.0000
Cu1 0.3333 0.6667 0.2460
F1 0.1614 0.8369 0.2543
F2 0.3333 0.6667 0.7489


6.
# Mg2Cu2F (PBE-GGA, relaxed)
# Formation energy from raw total energies (meV per atom): -573.5
# Energy above the most stable polymorph in this dataset (kJ/mol of formula units): 34
data_Mg2Cu2F
_space_group_name_H-M_alt 'I 4/m m m'
_space_group_IT_number 139
_space_group_name_Hall '-I 4 2'
_cell_length_a 3.311
_cell_length_b 3.311
_cell_length_c 14.786
_cell_angle_alpha 90.00
_cell_angle_beta 90.00
_cell_angle_gamma 90.00
loop_
_atom_site_label
_atom_site_fract_x
_atom_site_fract_y
_atom_site_fract_z
Mg1 0.000 0.000 0.105
Cu1 0.000 0.500 0.250
F1 0.000 0.000 0.500


7.
# MgCuF4 (PBE-GGA, relaxed)
# Formation energy from raw total energies (meV per atom): -2414.3
# Energy above the most stable polymorph in this dataset (kJ/mol of formula units): 16
data_MgCuF4
_space_group_name_H-M_alt 'C 1 2/m 1'
_space_group_IT_number 12
_cell_length_a 10.429
_cell_length_b 3.177
_cell_length_c 5.346
_cell_angle_alpha 90.00
_cell_angle_beta 117.69
_cell_angle_gamma 90.00
loop_
_space_group_symop_operation_xyz
'x,y,z'
'-x,-y,-z'
'-x,y,-z'
'x,-y,z'
'x+1/2,y+1/2,z'
'-x+1/2,-y+1/2,-z'
'-x+1/2,y+1/2,-z'
'x+1/2,-y+1/2,z'
loop_
_atom_site_label
_atom_site_fract_x
_atom_site_fract_y
_atom_site_fract_z
Mg1 0.000 0.000 0.000
Cu1 0.000 0.500 0.500
F1 0.103 0.500 0.930
F2 0.104 0.000 0.425


8.
# Mg2CuF (PBE-GGA, relaxed)
# Formation energy from raw total energies (meV per atom): -656.1
# Energy above the most stable polymorph in this dataset (kJ/mol of formula units): 136
data_Mg2CuF
_space_group_name_H-M_alt 'F m -3 m'
_space_group_IT_number 225
_space_group_name_Hall '-F 4 2 3'
_cell_length_a 6.360
_cell_length_b 6.360
_cell_length_c 6.360
_cell_angle_alpha 90.00
_cell_angle_beta 90.00
_cell_angle_gamma 90.00
loop_
_atom_site_label
_atom_site_fract_x
_atom_site_fract_y
_atom_site_fract_z
Mg1 0.250 0.250 0.250
Cu1 0.000 0.000 0.000
F1 0.000 0.000 0.500